DFT (PBE with a Hubbard U) results for a geometry-optimized FeHF structure.

Values from the calculation:
V   34 Å³/f.u.
Total moment   4.0 μB/f.u.
Crystal system   monoclinic
E_tot   -13.83 eV/f.u.
ρ   3.7 g cm⁻³
Symmetry   No. 12

Cell: 4.465 4.465 5.369 Å, 102.38 102.38 40.35°
Fractional coordinates of all 6 atoms:
Fe (0.231, 0.231, 0.273)
Fe (0.769, 0.769, 0.727)
H (0.366, 0.366, 0.620)
H (0.634, 0.634, 0.380)
F (0.133, 0.133, 0.864)
F (0.867, 0.867, 0.136)